Run i
Below is a relaxed structure of Tl2CdRe, with properties calculated at the PBE-GGA level.

Properties
- crystal system = tetragonal

Cell: 5.6043 5.6043 5.6043 Å, 135.97 135.97 64.02°
Last column: nearest neighbours and their distance in Å.
Positions (direct):
Re  0.7500  0.2500  0.5000  8 Tl 2.97-3.17, 4 Cd 3.17
Tl  0.0000  0.0000  0.0000  4 Cd 2.97, 4 Tl 3.17, 4 Re 3.17
Tl  0.2500  0.7500  0.5000  4 Re 2.97, 4 Cd 3.17, 4 Tl 3.17
Cd  0.5000  0.5000  0.0000  8 Tl 2.97-3.17, 4 Re 3.17

***

Run ii
Below is a relaxed structure of Tl2CdRe, with properties calculated at the PBE-GGA level.

Properties
- crystal system = orthorhombic

Cell: 5.2797 5.2797 3.1945 Å, 90.00 90.00 105.90°
Last column: nearest neighbours and their distance in Å.
Positions (direct):
Re  0.0000  0.5000  0.5000  8 Tl 3.09, 2 Cd 3.18, 2 Re 3.19
Tl  0.0000  0.0000  0.0000  4 Cd 3.09, 4 Re 3.09, 4 Tl 3.18-3.19
Tl  0.5000  0.5000  0.0000  4 Re 3.09, 4 Cd 3.09, 4 Tl 3.18-3.19
Cd  0.5000  0.0000  0.5000  8 Tl 3.09, 2 Re 3.18, 2 Cd 3.19

***

The least stable of them is run ii.

***

Run i
Below is a relaxed structure of CdHgSe2, with properties calculated at the PBE-GGA level.

Properties
- crystal system = trigonal

Cell: 11.0656 11.0656 11.0656 Å, 17.78 17.78 17.78°
Last column: nearest neighbours and their distance in Å.
Positions (direct):
Cd  0.2500  0.2500  0.2500  6 Se 2.81
Hg  0.7500  0.7500  0.7500  6 Hg 3.42
Se  0.9778  0.9778  0.9778  3 Cd 2.81
Se  0.5222  0.5222  0.5222  3 Cd 2.81

***

Run ii
Below is a relaxed structure of CdHgSe2, with properties calculated at the PBE-GGA level.

Properties
- crystal system = triclinic

Cell: 4.4080 7.6332 7.6224 Å, 80.40 90.00 73.22°
Last column: nearest neighbours and their distance in Å.
Positions (direct):
Hg  0.8449  0.5248  0.9095  4 Se 2.71
Hg  0.5984  0.0231  0.1627  4 Se 2.71
Se  0.4079  0.3994  0.0998  1 Cd 2.69, 3 Hg 2.71
Se  0.1617  0.8955  0.3522  2 Cd 2.68-2.69, 2 Hg 2.71
Se  0.6577  0.9014  0.8465  2 Cd 2.68-2.69, 2 Hg 2.71
Se  0.9095  0.3973  0.5960  3 Cd 2.68-2.69, 1 Hg 2.71
Cd  0.3470  0.5225  0.4118  4 Se 2.68-2.69
Cd  0.0963  0.0243  0.6616  4 Se 2.68-2.69

***

The least stable of them is run i.